i:
# VAuIO2

VAuIO2 after structural relaxation (PBE+U, Alexandria via LeMat-Bulk).

Unit cell a=4.069 b=4.069 c=6.479 alpha=90.00 beta=90.00 gamma=90.00
Sites, in units of the cell vectors:
V1 0.000 0.000 0.000
Au1 0.500 0.500 0.500
I1 0.500 0.500 0.000
O1 0.000 0.500 0.500
O2 0.500 0.000 0.500

Computed properties:
Calculated density ... 6.30 g cm⁻³


ii:
# VAuIO2

VAuIO2 after structural relaxation (PBE+U, Alexandria via LeMat-Bulk).

Unit cell a=3.853 b=3.853 c=6.083 alpha=90.00 beta=90.00 gamma=90.00
Sites, in units of the cell vectors:
V1 0.000 0.000 0.000
Au1 0.500 0.500 0.500
I1 0.000 0.000 0.500
O1 0.000 0.500 0.000
O2 0.500 0.000 0.000

Computed properties:
Calculated density ... 7.48 g cm⁻³


Question: of the structures shown, which is the least stable? Reply: i.